A plane-wave DFT calculation with PBE was carried out for a relaxed BaNiHg2Ge crystal.

Properties
ρ = 8.8 g cm⁻³
DFT formation energy = -0.2530 eV/atom
crystal system = tetragonal

```
data_BaNiHg2Ge
_cell_length_a 5.172
_cell_length_b 5.172
_cell_length_c 4.718
_cell_angle_alpha 90.00
_cell_angle_beta 90.00
_cell_angle_gamma 90.00
_space_group_name_H-M_alt 'P 1'
_space_group_IT_number 1
loop_
_space_group_symop_operation_xyz
'x,y,z'
loop_
_atom_site_label
_atom_site_type_symbol
_atom_site_fract_x
_atom_site_fract_y
_atom_site_fract_z
Hg1 Hg 0.000 0.500 0.000
Hg2 Hg 0.500 0.000 0.000
Ba1 Ba 0.500 0.500 0.500
Ni1 Ni 0.000 0.000 0.000
Ge1 Ge 0.000 0.000 0.500
```